1.
A plane-wave DFT calculation with GGA-PBEsol was carried out for a geometry-optimized Sc2OsRu structure.

```
4
Lattice="2.8957 0.0000 0.0000 1.4479 2.5078 0.0000 1.4479 0.8359 9.3505" Properties=species:S:1:pos:R:3 pbc="T T T"
Sc 1.4479 0.8359 2.5729
Sc 1.4479 0.8359 9.0860
Os 2.8957 1.6719 4.8509
Ru 4.3436 2.5078 6.8666
```

Computed properties:
Space group   No. 160
Energy relative to the elements   243 meV per atom
ρ   9322 kg/m³

***

2.
A plane-wave DFT calculation with GGA-PBEsol was carried out for a geometry-optimized Ca3Ga2Pt2 structure.

```
28
Lattice="5.7148 0.0000 0.0000 0.0000 7.8093 0.0000 0.0000 0.0000 13.6712" Properties=species:S:1:pos:R:3 pbc="T T T"
Ca 0.8164 6.9767 8.1796
Ca 4.8984 0.8326 5.4916
Ca 0.8164 6.9767 12.3272
Ca 0.8164 4.7373 1.3440
Ca 0.8164 4.7373 5.4916
Ca 4.8984 3.0720 8.1796
Ca 4.8984 0.8326 1.3440
Ca 4.8984 3.0720 12.3272
Ca 3.5973 5.8053 10.2534
Ca 2.1176 2.0040 3.4178
Ca 2.1176 1.9006 10.2534
Ca 3.5973 5.9087 3.4178
Ga 0.8169 4.6235 10.2534
Ga 3.5661 5.8570 6.8356
Ga 4.8979 0.7188 10.2534
Ga 2.1487 1.9523 6.8356
Ga 3.5661 5.8570 0.0000
Ga 2.1487 1.9523 0.0000
Ga 4.8979 3.1858 3.4178
Ga 0.8169 7.0905 3.4178
Pt 3.6421 3.6562 1.2781
Pt 3.6421 3.6562 5.5575
Pt 3.6421 0.2485 12.3931
Pt 3.6421 0.2485 8.1137
Pt 2.0727 4.1531 12.3931
Pt 2.0727 7.5608 1.2781
Pt 2.0727 7.5608 5.5575
Pt 2.0727 4.1531 8.1137
```

Computed properties:
Space group   No. 57
Energy relative to the elements   -845 meV per atom
ρ   7075 kg/m³

***

3.
A plane-wave DFT calculation with GGA-PBEsol was carried out for a geometry-optimized BeCo2Si structure.

```
4
Lattice="2.6716 0.0000 0.0000 0.0000 3.7451 0.0000 0.0000 0.0000 3.7451" Properties=species:S:1:pos:R:3 pbc="T T T"
Be 1.3358 0.0000 0.0000
Co 0.0000 0.0000 1.8725
Co 0.0000 1.8725 0.0000
Si 1.3358 1.8725 1.8725
```

Computed properties:
Space group   No. 123
ρ   6867 kg/m³
Formation energy from raw total energies   -620 meV/atom
Excess energy over the best structure of this formula in the dataset   0.053 eV/atom

***

4.
A plane-wave DFT calculation with GGA-PBEsol was carried out for a geometry-optimized Co2Pt structure.

```
12
Lattice="-1.5878 0.9976 -3.1192 -1.7303 -3.1987 -0.1422 -6.7037 5.3743 7.2547" Properties=species:S:1:pos:R:3 pbc="T T T"
Co -9.2274 2.6742 5.5525
Co -0.8657 -1.5991 -0.0708
Co -5.8410 1.0367 1.1817
Co -7.0240 3.5896 4.7237
Co -3.6366 1.9516 0.3521
Co -4.1809 2.1366 2.8117
Co -2.9978 -0.4164 -0.7304
Co -6.3140 3.3199 2.1527
Pt -6.3960 1.2272 3.6484
Pt -3.6971 -0.1520 1.8334
Pt -1.3494 0.6896 0.9075
Pt -8.6724 2.4837 3.0858
```

Computed properties:
Space group   No. 141
Energy relative to the elements   -53 meV per atom
ρ   14336 kg/m³

***

5.
A plane-wave DFT calculation with GGA-PBEsol was carried out for a geometry-optimized MgCrW2 structure.

```
4
Lattice="-0.9642 2.3745 -0.7651 -1.1755 -1.1559 -2.1060 -7.0855 -1.3621 4.7026" Properties=species:S:1:pos:R:3 pbc="T T T"
W -1.6197 -0.3114 1.0750
W -5.4658 -1.0507 3.6276
Cr -1.0699 0.6093 -1.4355
Mg -4.6126 -0.0718 0.9158
```

Computed properties:
Space group   No. 123
Energy relative to the elements   569 meV per atom
ρ   11967 kg/m³
Excess energy over the best structure of this formula in the dataset   0.037 eV/atom

***

6.
A plane-wave DFT calculation with GGA-PBEsol was carried out for a geometry-optimized Li3Mn4O8 structure.

```
15
Lattice="5.1417 0.0000 0.0532 0.0000 5.6120 0.0000 -1.9941 -2.8060 4.7745" Properties=species:S:1:pos:R:3 pbc="T T T"
Mn 4.1425 1.4152 2.4425
Mn 4.1425 4.1968 2.4425
Mn 0.0355 2.8060 0.0337
Mn 3.1074 2.8060 4.7980
O 2.3674 1.3493 3.8026
O -0.3999 0.0000 3.5844
O 2.3674 -1.3493 3.8026
O 3.6264 2.8060 1.2250
O 0.7756 4.2627 1.0290
O -0.4833 2.8060 3.6067
O 3.5430 0.0000 1.2474
O 0.7756 1.3493 1.0290
Li 2.5686 1.4032 0.0285
Li 2.5686 4.2088 0.0285
Li 1.5719 0.0000 2.4155
```

Computed properties:
Space group   No. 12
ρ   4423 kg/m³
Formation energy from raw total energies   -1777 meV/atom
Excess energy over the best structure of this formula in the dataset   0.014 eV/atom

***

DFT total energy list, top to bottom, in eV/atom: -8.66; -4.70; -6.93; -7.53; -9.32; -7.57